Entry 1:
# In2AgBiI6 (PBE, optimized geometry)
# ρ = 5.45 g/cm³
# E_form (uncorrected) = -0.391 eV per atom
data_In2AgBiI6
_chemical_formula_sum 'In4 Ag2 Bi2 I12'
_cell_length_a 7.933
_cell_length_b 8.663
_cell_length_c 13.943
_cell_angle_alpha 90.00
_cell_angle_beta 123.73
_cell_angle_gamma 90.00
_space_group_name_H-M_alt 'P 1 21/c 1'
_space_group_IT_number 14
loop_
_space_group_symop_operation_xyz
'x,y,z'
'-x,-y,-z'
'-x,y+1/2,-z+1/2'
'x,-y+1/2,z+1/2'
loop_
_atom_site_label
_atom_site_type_symbol
_atom_site_fract_x
_atom_site_fract_y
_atom_site_fract_z
In1 In 0.199 0.107 0.242
Ag1 Ag 0.000 0.000 0.500
Bi1 Bi 0.500 0.000 0.000
I1 I 0.122 0.190 0.946
I2 I 0.265 0.688 0.945
I3 I 0.366 0.025 0.744

---

Entry 2:
# InAgBi2I (PBE, optimized geometry)
# ρ = 6.80 g/cm³
# E_form (uncorrected) = 0.402 eV per atom
data_InAgBi2I
_chemical_formula_sum 'In1 Ag1 Bi2 I1'
_cell_length_a 5.508
_cell_length_b 5.508
_cell_length_c 6.180
_cell_angle_alpha 90.00
_cell_angle_beta 90.00
_cell_angle_gamma 90.00
_space_group_name_H-M_alt 'P 4/m m m'
_space_group_IT_number 123
_space_group_name_Hall '-P 4 2'
loop_
_atom_site_label
_atom_site_type_symbol
_atom_site_fract_x
_atom_site_fract_y
_atom_site_fract_z
In1 In 0.000 0.000 0.000
Ag1 Ag 0.500 0.500 0.500
Bi1 Bi 0.000 0.500 0.500
I1 I 0.500 0.500 0.000

---

Entry 3:
# K2AgBiI6 (PBE, optimized geometry)
# ρ = 4.45 g/cm³
# E_form (uncorrected) = -0.800 eV per atom
data_K2AgBiI6
_chemical_formula_sum 'K2 Ag1 Bi1 I6'
_cell_length_a 8.432
_cell_length_b 8.444
_cell_length_c 8.515
_cell_angle_alpha 60.34
_cell_angle_beta 90.00
_cell_angle_gamma 60.07
_space_group_name_H-M_alt 'P 1'
_space_group_IT_number 1
loop_
_space_group_symop_operation_xyz
'x,y,z'
loop_
_atom_site_label
_atom_site_type_symbol
_atom_site_fract_x
_atom_site_fract_y
_atom_site_fract_z
K1 K 0.000 0.000 0.000
K2 K 0.493 0.012 0.482
Ag1 Ag 0.277 0.446 0.833
Bi1 Bi 0.782 0.437 0.346
I1 I 0.038 0.345 0.099
I2 I 0.128 0.331 0.611
I3 I 0.443 0.518 0.100
I4 I 0.542 0.516 0.612
I5 I 0.617 0.940 0.099
I6 I 0.942 0.931 0.611

---

Entry 4:
# KAgBiI5 (PBE, optimized geometry)
# ρ = 4.49 g/cm³
# E_form (uncorrected) = -0.642 eV per atom
data_KAgBiI5
_chemical_formula_sum 'K4 Ag4 Bi4 I20'
_cell_length_a 9.983
_cell_length_b 13.886
_cell_length_c 11.436
_cell_angle_alpha 90.00
_cell_angle_beta 112.42
_cell_angle_gamma 90.00
_space_group_name_H-M_alt 'C 1 2/c 1'
_space_group_IT_number 15
loop_
_space_group_symop_operation_xyz
'x,y,z'
'-x,-y,-z'
'-x,y,-z+1/2'
'x,-y,z+1/2'
'x+1/2,y+1/2,z'
'-x+1/2,-y+1/2,-z'
'-x+1/2,y+1/2,-z+1/2'
'x+1/2,-y+1/2,z+1/2'
loop_
_atom_site_label
_atom_site_type_symbol
_atom_site_fract_x
_atom_site_fract_y
_atom_site_fract_z
K1 K 0.000 0.137 0.250
Ag1 Ag 0.000 0.190 0.750
Bi1 Bi 0.000 0.500 0.000
I1 I 0.000 0.408 0.250
I2 I 0.125 0.299 0.609
I3 I 0.182 0.064 0.946

---

Entry 5:
# KAg2BiI6 (PBE, optimized geometry)
# ρ = 4.53 g/cm³
# E_form (uncorrected) = -0.561 eV per atom
data_KAg2BiI6
_chemical_formula_sum 'K4 Ag8 Bi4 I24'
_cell_length_a 15.379
_cell_length_b 14.587
_cell_length_c 8.118
_cell_angle_alpha 90.00
_cell_angle_beta 99.43
_cell_angle_gamma 90.00
_space_group_name_H-M_alt 'C 1 2/c 1'
_space_group_IT_number 15
loop_
_space_group_symop_operation_xyz
'x,y,z'
'-x,-y,-z'
'-x,y,-z+1/2'
'x,-y,z+1/2'
'x+1/2,y+1/2,z'
'-x+1/2,-y+1/2,-z'
'-x+1/2,y+1/2,-z+1/2'
'x+1/2,-y+1/2,z+1/2'
loop_
_atom_site_label
_atom_site_type_symbol
_atom_site_fract_x
_atom_site_fract_y
_atom_site_fract_z
K1 K 0.000 0.083 0.250
Ag1 Ag 0.100 0.420 0.269
Bi1 Bi 0.000 0.255 0.750
I1 I 0.123 0.112 0.650
I2 I 0.123 0.260 0.097
I3 I 0.125 0.411 0.619

---

Entry 6:
# LiAgBi2I (PBE, optimized geometry)
# ρ = 6.08 g/cm³
# E_form (uncorrected) = 0.556 eV per atom
data_LiAgBi2I
_chemical_formula_sum 'Li1 Ag1 Bi2 I1'
_cell_length_a 6.077
_cell_length_b 6.077
_cell_length_c 4.876
_cell_angle_alpha 90.00
_cell_angle_beta 90.00
_cell_angle_gamma 90.00
_space_group_name_H-M_alt 'P 4/m m m'
_space_group_IT_number 123
_space_group_name_Hall '-P 4 2'
loop_
_atom_site_label
_atom_site_type_symbol
_atom_site_fract_x
_atom_site_fract_y
_atom_site_fract_z
Li1 Li 0.000 0.000 0.000
Ag1 Ag 0.500 0.500 0.000
Bi1 Bi 0.000 0.500 0.500
I1 I 0.000 0.000 0.500

---

Entry 7:
# MgAg2BiI (PBE, optimized geometry)
# ρ = 5.74 g/cm³
# E_form (uncorrected) = 0.117 eV per atom
data_MgAg2BiI
_chemical_formula_sum 'Mg1 Ag2 Bi1 I1'
_cell_length_a 5.450
_cell_length_b 5.450
_cell_length_c 5.606
_cell_angle_alpha 90.00
_cell_angle_beta 90.00
_cell_angle_gamma 90.00
_space_group_name_H-M_alt 'P 4/m m m'
_space_group_IT_number 123
_space_group_name_Hall '-P 4 2'
loop_
_atom_site_label
_atom_site_type_symbol
_atom_site_fract_x
_atom_site_fract_y
_atom_site_fract_z
Mg1 Mg 0.000 0.000 0.000
Ag1 Ag 0.000 0.500 0.500
Bi1 Bi 0.000 0.000 0.500
I1 I 0.500 0.500 0.000

---

Entry 8:
# NaAg2BiI6 (PBE, optimized geometry)
# ρ = 5.33 g/cm³
# E_form (uncorrected) = -0.484 eV per atom
data_NaAg2BiI6
_chemical_formula_sum 'Na1 Ag2 Bi1 I6'
_cell_length_a 7.820
_cell_length_b 7.822
_cell_length_c 8.418
_cell_angle_alpha 62.32
_cell_angle_beta 89.97
_cell_angle_gamma 60.03
_space_group_name_H-M_alt 'P 1'
_space_group_IT_number 1
loop_
_space_group_symop_operation_xyz
'x,y,z'
loop_
_atom_site_label
_atom_site_type_symbol
_atom_site_fract_x
_atom_site_fract_y
_atom_site_fract_z
Na1 Na 0.000 0.000 0.000
Ag1 Ag 0.189 0.623 0.565
Ag2 Ag 0.701 0.599 0.100
Bi1 Bi 0.511 0.979 0.532
I1 I 0.096 0.120 0.304
I2 I 0.306 0.122 0.802
I3 I 0.425 0.480 0.304
I4 I 0.572 0.504 0.802
I5 I 0.784 0.792 0.304
I6 I 0.925 0.769 0.803

---

The lowest ρ belongs to which entry? K2AgBiI6